Material: DyTmTe3
Method: DFT, PBE
State: optimized geometry

The structure in POSCAR format:
```
DyTmTe3
1.0
3.8207 2.2059 6.9876
-3.8207 2.2059 6.9876
0.0000 -4.4118 6.9876
Dy Tm Te
2 2 6
direct
0.1571 0.1571 0.1571
0.8429 0.8429 0.8429
0.3420 0.3420 0.3420
0.6580 0.6580 0.6580
0.0651 0.7468 0.4357
0.2532 0.5643 0.9349
0.4357 0.0651 0.7468
0.5643 0.9349 0.2532
0.7468 0.4357 0.0651
0.9349 0.2532 0.5643
```

Results
SG: No. 148
Energy (eV/atom): -5.05
ΔE_f (raw) (meV/atom): -1346
Spin magnetization (μB/cell): 0.00
Energy relative to the lowest polymorph listed for this composition (meV/atom): 0.0